Compound: Ag2Au
Source: the Alexandria database
Functional: PBEsol
Structure: relaxed

**Formation enthalpy at 0 K**: -0.04 eV/atom
**Energy relative to the lowest polymorph listed for this composition**: 8.6 meV per atom
**Symmetry**: I4/mmm

abc: 6.4774 6.4774 6.4774
angles: 154.61 154.61 36.22
Fractional positions:
Ag 0.1673 0.1673 0.0000
Ag 0.8327 0.8327 0.0000
Au 0.5000 0.5000 0.0000